Tm2HPb | PBE-GGA | optimized geometry

Summary:
M_tot ... 0.0 μB/cell
Energy above the lowest structure with this stoichiometry ... 180 meV/atom
VASP energy ... -17.32 eV/f.u.

a = 3.5199 Å, b = 3.5199 Å, c = 8.2096 Å
α = 77.62°, β = 77.62°, γ = 60.00°
With the nearest neighbours (Å) after each atom.
Sites, in units of the cell vectors:
Pb 0.5000 0.5000 0.5000  6 Tm 3.33, 6 Pb 3.52
H 0.0000 0.0000 0.0000  6 Tm 2.43
Tm 0.2774 0.2774 0.1679  3 H 2.43
Tm 0.7226 0.7226 0.8321  3 H 2.43